Entry 1:
# YCo

A relaxed YCo crystal (PBE-GGA, OQMD via LeMat-Bulk).

Lattice parameters (Å, degrees): 7.200 7.200 7.200 31.32 31.32 31.32
Element x y z (fractional)
Co 0.667 0.667 0.667
Co 0.333 0.333 0.333
Y 0.089 0.089 0.089
Y 0.911 0.911 0.911

Values from the calculation:
V = 22.4 Å³ per atom
symmetry = R-3m, No. 166
total energy = -6.98 eV/atom

=====

Entry 2:
# YCo3

A relaxed YCo3 crystal (PBE-GGA, OQMD via LeMat-Bulk).

Lattice parameters (Å, degrees): 4.971 4.971 8.592 73.19 106.81 120.00
Element x y z (fractional)
Co 0.665 0.335 0.995
Co 0.500 0.500 0.500
Co 0.582 0.921 0.243
Co 0.582 0.418 0.243
Co 0.079 0.418 0.243
Co 0.921 0.582 0.757
Co 0.335 0.665 0.005
Co 0.418 0.079 0.757
Co 0.418 0.582 0.757
Y 0.140 0.860 0.419
Y 0.860 0.140 0.581
Y 0.000 0.000 0.000

Values from the calculation:
V = 14.4 Å³ per atom
symmetry = R-3m, No. 166
total energy = -7.11 eV/atom

=====

Entry 3:
# YCo3

A relaxed YCo3 crystal (PBE-GGA, OQMD via LeMat-Bulk).

Lattice parameters (Å, degrees): 4.749 4.749 4.749 131.96 131.96 70.30
Element x y z (fractional)
Y 0.000 0.000 0.000
Co 0.250 0.750 0.500
Co 0.750 0.250 0.500
Co 0.500 0.500 0.000

Values from the calculation:
V = 14.5 Å³ per atom
symmetry = I4/mmm, No. 139
total energy = -6.72 eV/atom

=====

Entry 4:
# YCo

A relaxed YCo crystal (PBE-GGA, OQMD via LeMat-Bulk).

Lattice parameters (Å, degrees): 4.467 4.467 5.533 90.00 90.00 120.00
Element x y z (fractional)
Y 0.000 0.000 0.438
Y 0.333 0.667 0.938
Co 0.333 0.667 0.437
Co 0.000 0.000 0.937

Values from the calculation:
V = 23.9 Å³ per atom
symmetry = P6_3/mmc, No. 194
total energy = -6.17 eV/atom

=====

- Which of these has the lowest total energy?
  number 2

=====

Please write out number 2 again, unchanged.
# YCo3

A relaxed YCo3 crystal (PBE-GGA, OQMD via LeMat-Bulk).

Lattice parameters (Å, degrees): 4.971 4.971 8.592 73.19 106.81 120.00
Element x y z (fractional)
Co 0.665 0.335 0.995
Co 0.500 0.500 0.500
Co 0.582 0.921 0.243
Co 0.582 0.418 0.243
Co 0.079 0.418 0.243
Co 0.921 0.582 0.757
Co 0.335 0.665 0.005
Co 0.418 0.079 0.757
Co 0.418 0.582 0.757
Y 0.140 0.860 0.419
Y 0.860 0.140 0.581
Y 0.000 0.000 0.000

Values from the calculation:
V = 14.4 Å³ per atom
symmetry = R-3m, No. 166
total energy = -7.11 eV/atom